Density functional theory data (PBE) for a relaxed CoIr2Ru crystal.

Computed properties:
Energy relative to the elements in eV/atom: 1.062

Cell: 3.8026 3.8032 6.5774 Å, 73.30 73.28 59.95°
Positions (direct):
1 Co 0.2408 0.6860 0.1757
2 Ir 0.1189 0.5637 0.5413
3 Ir 0.6085 0.0537 0.0715
4 Ru 0.7363 0.1811 0.6900

Density functional theory data (PBE) for a relaxed CoIr12Ru6 crystal.

Computed properties:
Energy relative to the elements in eV/atom: 0.202

Cell: 6.5163 6.5163 6.5163 Å, 90.38 90.38 90.38°
Positions (direct):
1 Co 0.0000 0.0000 0.0000
2 Ir 0.7984 0.5211 0.4432
3 Ir 0.4432 0.7984 0.5211
4 Ir 0.5211 0.4432 0.7984
5 Ir 0.2016 0.4789 0.5568
6 Ir 0.5568 0.2016 0.4789
7 Ir 0.4789 0.5568 0.2016
8 Ir 0.0377 0.1542 0.3666
9 Ir 0.8458 0.6334 0.9623
10 Ir 0.6334 0.9623 0.8458
11 Ir 0.9623 0.8458 0.6334
12 Ir 0.1542 0.3666 0.0377
13 Ir 0.3666 0.0377 0.1542
14 Ru 0.7361 0.8921 0.2735
15 Ru 0.7265 0.2639 0.1079
16 Ru 0.1079 0.7265 0.2639
17 Ru 0.2639 0.1079 0.7265
18 Ru 0.2735 0.7361 0.8921
19 Ru 0.8921 0.2735 0.7361

Density functional theory data (PBE) for a relaxed CoIr2Ru crystal.

Computed properties:
Energy relative to the elements in eV/atom: 0.366

Cell: 2.6835 2.6835 9.0029 Å, 90.00 90.00 119.44°
Each line ends with the local moment (μB).
Positions (direct):
1 Co 0.5000 0.5000 0.7481  1.79
2 Ir 0.0000 0.0000 0.9892  0.30
3 Ir 0.5000 0.5000 0.2528  0.08
4 Ru 0.0000 0.0000 0.5098  0.72

Density functional theory data (PBE) for a relaxed Co2IrRu crystal.

Computed properties:
Energy relative to the elements in eV/atom: 0.085

Cell: 2.6756 2.6756 7.1011 Å, 90.00 90.00 90.00°
Each line ends with the local moment (μB).
Positions (direct):
1 Co 0.0000 0.0000 0.0125  1.56
2 Co 0.5000 0.5000 0.2347  1.64
3 Ir 0.0000 0.0000 0.4932  0.09
4 Ru 0.5000 0.5000 0.7596  0.08